[1]
CdAgPb2 | GGA-PBEsol | optimized geometry

Computed properties:
The calculation puts the volume at 24.369 Å³/atom. The calculation puts the total moment at 0.00 μB/cell. The calculated formation energy comes out at 1.5 kcal/mol of atoms. The theoretical density is 10.81 g/cm³.

The structure in POSCAR format:
```
CdAgPb2
1.0
3.665 0.000 0.000
0.000 4.634 0.000
-1.762 0.000 5.740
Cd Ag Pb
1 1 2
direct
0.000 0.000 0.000
0.854 0.500 0.706
0.277 0.000 0.544
0.588 0.500 0.177
```


[2]
CdAgPb2 | GGA-PBEsol | optimized geometry

Computed properties:
The calculation puts the volume at 24.313 Å³/atom. The calculation puts the total moment at 0.00 μB/cell. The calculated formation energy comes out at 1.9 kcal/mol of atoms. The theoretical density is 10.84 g/cm³.

The structure in POSCAR format:
```
CdAgPb2
1.0
3.318 0.000 0.000
-1.659 2.873 0.000
0.000 0.000 30.602
Cd Ag Pb
3 3 6
direct
0.000 0.000 0.000
0.333 0.667 0.667
0.667 0.333 0.333
0.000 0.000 0.265
0.333 0.667 0.931
0.667 0.333 0.598
0.000 0.000 0.519
0.000 0.000 0.754
0.333 0.667 0.186
0.333 0.667 0.421
0.667 0.333 0.087
0.667 0.333 0.853
```


[3]
CdAg2Pb | GGA-PBEsol | optimized geometry

Computed properties:
The calculation puts the volume at 20.448 Å³/atom. The calculation puts the total moment at 0.00 μB/cell. The calculated formation energy comes out at 1.1 kcal/mol of atoms. The theoretical density is 10.87 g/cm³.

The structure in POSCAR format:
```
CdAg2Pb
1.0
3.299 0.000 0.000
0.000 3.629 0.000
0.000 0.000 6.832
Cd Ag Pb
1 2 1
direct
0.000 0.000 0.000
0.500 0.500 0.217
0.500 0.500 0.783
0.000 0.000 0.500
```


[4]
CdAgPb2 | GGA-PBEsol | optimized geometry

Computed properties:
The calculation puts the volume at 24.088 Å³/atom. The calculation puts the total moment at 0.00 μB/cell. The calculated formation energy comes out at 2.3 kcal/mol of atoms. The theoretical density is 10.94 g/cm³.

The structure in POSCAR format:
```
CdAgPb2
1.0
3.396 0.000 0.000
0.000 4.290 0.000
0.000 0.000 6.614
Cd Ag Pb
1 1 2
direct
0.000 0.000 0.000
0.000 0.000 0.500
0.500 0.500 0.258
0.500 0.500 0.742
```


[5]
Cd2Ag2Pb | GGA-PBEsol | optimized geometry

Computed properties:
The calculation puts the volume at 22.382 Å³/atom. The calculation puts the total moment at 0.00 μB/cell. The calculated formation energy comes out at 0.5 kcal/mol of atoms. The theoretical density is 9.61 g/cm³.

The structure in POSCAR format:
```
Cd2Ag2Pb
1.0
8.432 0.000 0.000
0.000 8.432 0.000
0.000 0.000 3.148
Cd Ag Pb
4 4 2
direct
0.126 0.374 0.000
0.374 0.874 0.000
0.626 0.126 0.000
0.874 0.626 0.000
0.171 0.671 0.500
0.329 0.171 0.500
0.671 0.829 0.500
0.829 0.329 0.500
0.000 0.000 0.000
0.500 0.500 0.000
```


[6]
CdAgPb2 | GGA-PBEsol | optimized geometry

Computed properties:
The calculation puts the volume at 24.381 Å³/atom. The calculation puts the total moment at 0.00 μB/cell. The calculated formation energy comes out at 2.7 kcal/mol of atoms. The theoretical density is 10.81 g/cm³.

The structure in POSCAR format:
```
CdAgPb2
1.0
3.381 0.000 0.000
-1.691 2.928 0.000
0.000 0.000 29.546
Cd Ag Pb
3 3 6
direct
0.000 0.000 0.000
0.333 0.667 0.667
0.667 0.333 0.333
0.000 0.000 0.500
0.333 0.667 0.167
0.667 0.333 0.833
0.000 0.000 0.245
0.000 0.000 0.755
0.333 0.667 0.421
0.333 0.667 0.912
0.667 0.333 0.088
0.667 0.333 0.579
```


[7]
CdAg4Pb | GGA-PBEsol | optimized geometry

Computed properties:
The calculation puts the volume at 19.509 Å³/atom. The calculation puts the total moment at 0.00 μB/cell. The calculated formation energy comes out at 1.3 kcal/mol of atoms. The theoretical density is 10.65 g/cm³.

The structure in POSCAR format:
```
CdAg4Pb
1.0
0.000 3.883 3.883
3.883 0.000 3.883
3.883 3.883 0.000
Cd Ag Pb
1 4 1
direct
0.000 0.000 0.000
0.375 0.375 0.375
0.375 0.375 0.876
0.375 0.876 0.375
0.876 0.375 0.375
0.750 0.750 0.750
```


[8]
CdAg2Pb | GGA-PBEsol | optimized geometry

Computed properties:
The calculation puts the volume at 20.559 Å³/atom. The calculation puts the total moment at 0.00 μB/cell. The calculated formation energy comes out at 2.0 kcal/mol of atoms. The theoretical density is 10.81 g/cm³.

The structure in POSCAR format:
```
CdAg2Pb
1.0
3.303 0.000 0.000
0.000 4.916 0.000
0.000 0.000 10.128
Cd Ag Pb
2 4 2
direct
0.000 0.000 0.000
0.500 0.500 0.500
0.000 0.000 0.533
0.000 0.500 0.258
0.500 0.000 0.758
0.500 0.500 0.033
0.000 0.500 0.776
0.500 0.000 0.276
```


[9]
CdAg2Pb | GGA-PBEsol | optimized geometry

Computed properties:
The calculation puts the volume at 20.827 Å³/atom. The calculation puts the total moment at 0.00 μB/cell. The calculated formation energy comes out at 1.3 kcal/mol of atoms. The theoretical density is 10.67 g/cm³.

The structure in POSCAR format:
```
CdAg2Pb
1.0
3.247 0.000 0.000
0.000 3.443 0.000
0.000 0.000 7.452
Cd Ag Pb
1 2 1
direct
0.000 0.000 0.000
0.000 0.000 0.581
0.500 0.500 0.785
0.500 0.500 0.316
```


[10]
CdAg2PdRu | GGA-PBEsol | optimized geometry

Computed properties:
The calculation puts the volume at 22.746 Å³/atom. The calculation puts the total moment at 2.47 μB/cell. The calculated formation energy comes out at 37.5 kcal/mol of atoms. The theoretical density is 7.82 g/cm³.

The structure in POSCAR format:
```
CdAg2PdRu
1.0
4.856 0.000 0.000
0.000 4.856 0.000
0.000 0.000 4.823
Cd Ag Pd Ru
1 2 1 1
direct
0.000 0.000 0.000
0.000 0.500 0.000
0.500 0.000 0.000
0.000 0.000 0.500
0.500 0.500 0.500
```


[11]
CdAg2Pt | GGA-PBEsol | optimized geometry

Computed properties:
The calculation puts the volume at 16.632 Å³/atom. The calculation puts the total moment at 0.00 μB/cell. The calculated formation energy comes out at -2.2 kcal/mol of atoms. The theoretical density is 13.06 g/cm³.

The structure in POSCAR format:
```
CdAg2Pt
1.0
2.892 0.000 0.000
0.000 2.892 0.000
0.000 0.000 7.953
Cd Ag Pt
1 2 1
direct
0.000 0.000 0.000
0.000 0.000 0.486
0.500 0.500 0.736
0.500 0.500 0.243
```


[12]
CdAgPt2 | GGA-PBEsol | optimized geometry

Computed properties:
The calculation puts the volume at 16.104 Å³/atom. The calculation puts the total moment at 0.00 μB/cell. The calculated formation energy comes out at -3.4 kcal/mol of atoms. The theoretical density is 15.74 g/cm³.

The structure in POSCAR format:
```
CdAgPt2
1.0
4.012 0.000 0.000
0.000 4.012 0.000
0.000 0.000 4.001
Cd Ag Pt
1 1 2
direct
0.000 0.000 0.000
0.500 0.500 0.000
0.000 0.500 0.500
0.500 0.000 0.500
```


> The lowest calculated formation energy belongs to which entry?

CdAgPt2


Please write out number 7 again, unchanged.
CdAg4Pb | GGA-PBEsol | optimized geometry

Computed properties:
The calculation puts the volume at 19.509 Å³/atom. The calculation puts the total moment at 0.00 μB/cell. The calculated formation energy comes out at 1.3 kcal/mol of atoms. The theoretical density is 10.65 g/cm³.

The structure in POSCAR format:
```
CdAg4Pb
1.0
0.000 3.883 3.883
3.883 0.000 3.883
3.883 3.883 0.000
Cd Ag Pb
1 4 1
direct
0.000 0.000 0.000
0.375 0.375 0.375
0.375 0.375 0.876
0.375 0.876 0.375
0.876 0.375 0.375
0.750 0.750 0.750
```